{"formula": "SiSeCl2", "functional": "GGA-PBEsol", "state": "optimized geometry", "lattice": [[4.079, 0.000, 0.000], [0.000, 4.310, 0.000], [0.000, 0.000, 4.310]], "species": ["Si", "Se", "Cl", "Cl"], "fractional_positions": [[0.500, 0.000, 0.000], [0.500, 0.500, 0.500], [0.000, 0.000, 0.500], [0.000, 0.500, 0.000]], "de_polymorph_mev_per_atom": 269, "volume_a3_per_cell": 75.75, "formation_energy_uncorrected_ev_per_atom": 0.363, "n_ef_per_ev_fu": 1.75}

=====

{"formula": "CaRu2Au", "functional": "GGA-PBEsol", "state": "optimized geometry", "lattice": [[2.877, 0.000, 0.000], [0.000, 2.877, 0.000], [0.000, 0.000, 8.083]], "species": ["Au", "Ca", "Ru", "Ru"], "fractional_positions": [[0.000, 0.000, 0.475], [0.500, 0.500, 0.760], [0.000, 0.000, 0.039], [0.500, 0.500, 0.226]], "de_polymorph_mev_per_atom": 0, "volume_a3_per_cell": 66.90, "e_form_ev_per_atom": 0.1242, "n_ef_per_ev_fu": 3.64}

=====

{"formula": "Y3Pt", "functional": "GGA-PBEsol", "state": "optimized geometry", "lattice": [[-0.560, 2.978, -1.985], [-4.421, 0.865, 2.545], [5.188, 1.038, 3.399]], "species": ["Y", "Y", "Y", "Pt"], "fractional_positions": [[0.299, 0.883, 0.598], [0.500, 0.583, 0.000], [0.701, 0.284, 0.402], [0.000, 0.083, 0.000]], "volume_a3_per_cell": 101.94, "e_form_ev_per_atom": -0.6012, "n_ef_per_ev_fu": 4.24}

=====

{"formula": "BaH2O2", "functional": "GGA-PBEsol", "state": "optimized geometry", "lattice": [[7.491, 0.000, 0.409], [0.000, 7.547, 0.000], [-1.441, 0.000, 8.669]], "species": ["Ba", "Ba", "Ba", "Ba", "Ba", "Ba", "Ba", "Ba", "H", "H", "H", "H", "H", "H", "H", "H", "H", "H", "H", "H", "H", "H", "H", "H", "O", "O", "O", "O", "O", "O", "O", "O", "O", "O", "O", "O", "O", "O", "O", "O"], "fractional_positions": [[0.767, 0.087, 0.097], [0.267, 0.413, 0.597], [0.233, 0.913, 0.903], [0.733, 0.587, 0.403], [0.728, 0.021, 0.655], [0.228, 0.479, 0.155], [0.272, 0.979, 0.345], [0.772, 0.521, 0.845], [0.585, 0.885, 0.287], [0.085, 0.615, 0.787], [0.415, 0.115, 0.713], [0.915, 0.385, 0.213], [0.555, 0.780, 0.816], [0.055, 0.720, 0.316], [0.445, 0.220, 0.184], [0.945, 0.280, 0.684], [0.935, 0.715, 0.117], [0.435, 0.785, 0.617], [0.065, 0.285, 0.883], [0.565, 0.215, 0.383], [0.026, 0.745, 0.584], [0.526, 0.755, 0.084], [0.974, 0.255, 0.416], [0.474, 0.245, 0.916], [0.655, 0.965, 0.364], [0.155, 0.535, 0.864], [0.345, 0.035, 0.636], [0.845, 0.465, 0.136], [0.610, 0.835, 0.913], [0.110, 0.665, 0.413], [0.390, 0.165, 0.087], [0.890, 0.335, 0.587], [0.015, 0.820, 0.131], [0.515, 0.680, 0.631], [0.985, 0.180, 0.869], [0.485, 0.320, 0.369], [0.965, 0.760, 0.679], [0.465, 0.740, 0.179], [0.035, 0.240, 0.321], [0.535, 0.260, 0.821]], "volume_a3_per_cell": 494.53, "total_energy_ev_per_atom": -5.64, "n_ef_per_ev_fu": 0.00}